Entry from the Open Quantum Materials Database: a relaxed structure of NaSmCoO3 (PBE+U).

**Space group**: Cmcm, No. 63
**DFT total energy**: -6.28 eV/atom

Lattice parameters (Å, degrees): 5.413 5.413 9.549 90.00 90.00 142.16
Element x y z (fractional)
Na  0.237  0.763  0.750
Na  0.763  0.237  0.250
Sm  0.500  0.500  0.000
Sm  0.500  0.500  0.500
Co  0.037  0.963  0.250
Co  0.963  0.037  0.750
O  0.130  0.870  0.078
O  0.130  0.870  0.422
O  0.435  0.565  0.250
O  0.565  0.435  0.750
O  0.870  0.130  0.578
O  0.870  0.130  0.922